MgFeAg2: relaxed, PBE-GGA.

Output
Crystal system   tetragonal
Energy of formation   480 meV/atom
Space group   I-42d, No. 122
Final energy   -0.12715 Ha/atom
Total magnetic moment   2.68 μB per formula unit

a = 3.9273 Å, b = 3.9273 Å, c = 9.9660 Å
α = 78.64°, β = 78.64°, γ = 90.00°
With the nearest neighbours (Å) after each atom.
Element x y z (fractional)
Mg 0.5000 0.5000 0.0000  4 Ag 2.77, 4 Fe 2.78
Mg 0.2500 0.7500 0.5000  4 Ag 2.77, 4 Fe 2.78
Fe 0.0000 0.0000 0.0000  4 Ag 2.76, 4 Mg 2.78
Fe 0.7500 0.2500 0.5000  4 Ag 2.76, 4 Mg 2.78
Ag 0.6291 0.1250 0.2500  4 Ag 2.75-2.80, 2 Fe 2.76, 2 Mg 2.77
Ag 0.1209 0.6250 0.2500  4 Ag 2.75-2.80, 2 Fe 2.76, 2 Mg 2.77
Ag 0.3750 0.3709 0.7500  4 Ag 2.75-2.80, 2 Fe 2.76, 2 Mg 2.77
Ag 0.8750 0.8791 0.7500  4 Ag 2.75-2.80, 2 Fe 2.76, 2 Mg 2.77


MgFeAg: relaxed, PBE-GGA.

Output
Crystal system   trigonal
Energy of formation   271 meV/atom
Space group   P3m1, No. 156
Polymorph energy (0 for the lowest one)   0.081 eV/atom
Final energy   -0.14817 Ha/atom
Total magnetic moment   2.70 μB per formula unit

a = 4.5138 Å, b = 4.5138 Å, c = 2.7814 Å
α = 90.00°, β = 90.00°, γ = 120.00°
With the nearest neighbours (Å) after each atom.
Element x y z (fractional)
Ag 0.0000 0.0000 0.0301  3 Fe 2.71, 2 Ag 2.78, 3 Mg 2.79
Fe 0.3333 0.6667 0.2983  3 Ag 2.71, 2 Fe 2.78, 3 Mg 2.81
Mg 0.6667 0.3333 0.6716  2 Mg 2.78, 3 Ag 2.79, 3 Fe 2.81


MgFeAg2: relaxed, PBE-GGA.

Output
Crystal system   orthorhombic
Energy of formation   228 meV/atom
Space group   Immm, No. 71
Final energy   -0.13642 Ha/atom
Total magnetic moment   2.77 μB per formula unit

a = 5.4282 Å, b = 5.4282 Å, c = 5.4282 Å
α = 146.89°, β = 128.30°, γ = 62.78°
With the nearest neighbours (Å) after each atom.
Element x y z (fractional)
Ag 0.0104 0.0104 0.0000  2 Fe 2.71, 4 Ag 2.83, 2 Mg 2.87
Ag 0.4896 0.4896 0.0000  2 Fe 2.71, 4 Ag 2.83, 2 Mg 2.87
Fe 0.2500 0.7500 0.5000  4 Ag 2.71, 4 Mg 2.83
Mg 0.7500 0.2500 0.5000  4 Fe 2.83, 4 Ag 2.87, 2 Mg 3.09


MgFeAg: relaxed, PBE-GGA.

Output
Crystal system   tetragonal
Energy of formation   190 meV/atom
Space group   I4mm, No. 107
Polymorph energy (0 for the lowest one)   0.000 eV/atom
Final energy   -0.15114 Ha/atom
Total magnetic moment   2.44 μB per formula unit

a = 6.2238 Å, b = 6.2239 Å, c = 2.8679 Å
α = 76.68°, β = 76.68°, γ = 26.64°
With the nearest neighbours (Å) after each atom.
Element x y z (fractional)
Ag 0.9935 0.9935 0.0065  4 Fe 2.77, 4 Ag 2.87, 4 Mg 2.93
Fe 0.3331 0.3331 0.6669  4 Mg 2.77, 4 Ag 2.77, 4 Fe 2.87
Mg 0.6734 0.6734 0.3266  4 Fe 2.77, 4 Mg 2.87, 4 Ag 2.93


MgFeAg: relaxed, PBE-GGA.

Output
Crystal system   orthorhombic
Energy of formation   255 meV/atom
Space group   Imm2, No. 44
Polymorph energy (0 for the lowest one)   0.065 eV/atom
Final energy   -0.14875 Ha/atom
Total magnetic moment   2.59 μB per formula unit

a = 5.0010 Å, b = 5.0010 Å, c = 5.0010 Å
α = 146.80°, β = 134.09°, γ = 57.82°
With the nearest neighbours (Å) after each atom.
Element x y z (fractional)
Ag 0.9958 0.9958 0.0000  5 Fe 2.80-2.97, 5 Mg 2.86, 2 Ag 2.86
Fe 0.3347 0.3347 0.0000  5 Ag 2.80-2.97, 5 Mg 2.82-2.93, 2 Fe 2.86
Mg 0.6695 0.6695 0.0000  5 Fe 2.82-2.93, 5 Ag 2.86, 2 Mg 2.86


MgFeAg2: relaxed, PBE-GGA.

Output
Crystal system   tetragonal
Energy of formation   147 meV/atom
Space group   P4mm, No. 99
Final energy   -0.13938 Ha/atom
Total magnetic moment   2.52 μB per formula unit

a = 2.8686 Å, b = 2.8686 Å, c = 8.0639 Å
α = 90.00°, β = 90.00°, γ = 90.00°
With the nearest neighbours (Å) after each atom.
Element x y z (fractional)
Ag 0.0000 0.0000 0.9979  8 Ag 2.87-2.97, 4 Mg 2.94
Ag 0.5000 0.5000 0.2669  4 Fe 2.77, 8 Ag 2.87-2.97
Fe 0.0000 0.0000 0.5011  4 Mg 2.76, 4 Ag 2.77, 4 Fe 2.87
Mg 0.5000 0.5000 0.7341  4 Fe 2.76, 4 Mg 2.87, 4 Ag 2.94


MgFeAg2: relaxed, PBE-GGA.

Output
Crystal system   tetragonal
Energy of formation   201 meV/atom
Space group   I-4m2, No. 119
Final energy   -0.13741 Ha/atom
Total magnetic moment   2.78 μB per formula unit

a = 4.9359 Å, b = 4.9359 Å, c = 4.9359 Å
α = 131.19°, β = 131.19°, γ = 71.52°
With the nearest neighbours (Å) after each atom.
Element x y z (fractional)
Ag 0.0000 0.0000 0.0000  4 Mg 2.86, 4 Ag 2.86, 4 Fe 2.88
Ag 0.2500 0.7500 0.5000  4 Ag 2.86, 4 Fe 2.86, 4 Mg 2.88
Fe 0.5000 0.5000 0.0000  4 Mg 2.86, 8 Ag 2.86-2.88
Mg 0.7500 0.2500 0.5000  4 Fe 2.86, 8 Ag 2.86-2.88


MgFeAg2: relaxed, PBE-GGA.

Output
Crystal system   orthorhombic
Energy of formation   176 meV/atom
Space group   Pmm2, No. 25
Final energy   -0.13832 Ha/atom
Total magnetic moment   2.60 μB per formula unit

a = 2.8987 Å, b = 3.8980 Å, c = 5.8953 Å
α = 90.00°, β = 90.00°, γ = 90.00°
With the nearest neighbours (Å) after each atom.
Element x y z (fractional)
Ag 0.0000 0.0000 0.9952  4 Mg 2.84, 6 Ag 2.90-2.91, 2 Fe 2.93-2.96
Ag 0.5000 0.5000 0.2682  4 Fe 2.76, 2 Mg 2.81-3.09, 6 Ag 2.90-2.91
Fe 0.0000 0.0000 0.4923  6 Ag 2.76-2.96, 4 Mg 2.85, 2 Fe 2.90
Mg 0.5000 0.5000 0.7443  6 Ag 2.81-3.09, 4 Fe 2.85, 2 Mg 2.90


MgNb2FeAg: relaxed, PBE-GGA.

Output
Crystal system   tetragonal
Energy of formation   650 meV/atom
Space group   P4/mmm, No. 123
Final energy   -0.21900 Ha/atom
Total magnetic moment   0.00 μB per formula unit

a = 4.5452 Å, b = 4.5452 Å, c = 4.8143 Å
α = 90.00°, β = 90.00°, γ = 90.00°
With the nearest neighbours (Å) after each atom.
Element x y z (fractional)
Mg 0.0000 0.0000 0.5000  2 Fe 2.41
Nb 0.0000 0.5000 0.0000  2 Fe 2.27
Nb 0.5000 0.0000 0.0000  2 Fe 2.27
Fe 0.0000 0.0000 0.0000  4 Nb 2.27, 2 Mg 2.41
Ag 0.5000 0.5000 0.5000  4 Mg 3.21, 8 Nb 3.31


MgFeAg2Rh: relaxed, PBE-GGA.

Output
Crystal system   tetragonal
Energy of formation   822 meV/atom
Space group   P4/mmm, No. 123
Final energy   -0.13964 Ha/atom
Total magnetic moment   3.80 μB per formula unit

a = 5.0824 Å, b = 4.5162 Å, c = 5.0824 Å
α = 90.00°, β = 90.00°, γ = 90.00°
With the nearest neighbours (Å) after each atom.
Element x y z (fractional)
Mg 0.5000 0.5000 0.5000  8 Ag 3.40, 4 Fe 3.59
Rh 0.0000 0.0000 0.0000  2 Fe 2.26
Fe 0.0000 0.5000 0.0000  2 Rh 2.26
Ag 0.0000 0.0000 0.5000  2 Rh 2.54
Ag 0.5000 0.0000 0.0000  2 Rh 2.54


MgSc2FeAg: relaxed, PBE-GGA.

Output
Crystal system   tetragonal
Energy of formation   1075 meV/atom
Space group   P4/mmm, No. 123
Final energy   -0.14844 Ha/atom
Total magnetic moment   0.00 μB per formula unit

a = 5.1490 Å, b = 4.2759 Å, c = 5.1490 Å
α = 90.00°, β = 90.00°, γ = 90.00°
With the nearest neighbours (Å) after each atom.
Element x y z (fractional)
Sc 0.0000 0.0000 0.5000  2 Mg 2.57
Sc 0.5000 0.0000 0.0000  2 Mg 2.57
Mg 0.0000 0.0000 0.0000  2 Fe 2.14
Fe 0.0000 0.5000 0.0000  2 Mg 2.14
Ag 0.5000 0.5000 0.5000  8 Sc 3.35, 4 Fe 3.64


MgFe2SiAg: relaxed, PBE-GGA.

Output
Crystal system   tetragonal
Space group   P4/mmm, No. 123
Raw formation energy   1.287 eV/atom
Final energy   -0.14963 Ha/atom
Total magnetic moment   6.00 μB per formula unit

a = 4.7449 Å, b = 4.7981 Å, c = 4.7449 Å
α = 90.00°, β = 90.00°, γ = 90.00°
With the nearest neighbours (Å) after each atom.
Element x y z (fractional)
Mg 0.0000 0.5000 0.0000  2 Ag 2.40
Si 0.5000 0.5000 0.5000  4 Mg 3.36, 8 Fe 3.37
Fe 0.0000 0.0000 0.5000  2 Ag 2.37
Fe 0.5000 0.0000 0.0000  2 Ag 2.37
Ag 0.0000 0.0000 0.0000  4 Fe 2.37, 2 Mg 2.40


YMgFe2Ag: relaxed, PBE-GGA.

Output
Crystal system   tetragonal
Energy of formation   760 meV/atom
Space group   P4/mmm, No. 123
Final energy   -0.17665 Ha/atom
Total magnetic moment   5.03 μB per formula unit

a = 4.8614 Å, b = 4.7695 Å, c = 4.8614 Å
α = 90.00°, β = 90.00°, γ = 90.00°
With the nearest neighbours (Å) after each atom.
Element x y z (fractional)
Y 0.5000 0.5000 0.5000  8 Fe 3.41, 4 Mg 3.44
Mg 0.0000 0.5000 0.0000  2 Ag 2.38
Fe 0.0000 0.0000 0.5000  2 Ag 2.43
Fe 0.5000 0.0000 0.0000  2 Ag 2.43
Ag 0.0000 0.0000 0.0000  2 Mg 2.38, 4 Fe 2.43


MgZrFeAg2: relaxed, PBE-GGA.

Output
Crystal system   tetragonal
Energy of formation   510 meV/atom
Space group   P4/mmm, No. 123
Final energy   -0.15990 Ha/atom
Total magnetic moment   1.17 μB per formula unit

a = 4.9697 Å, b = 4.4515 Å, c = 4.9697 Å
α = 90.00°, β = 90.00°, γ = 90.00°
With the nearest neighbours (Å) after each atom.
Element x y z (fractional)
Mg 0.5000 0.5000 0.5000  8 Ag 3.34, 4 Zr 3.51
Zr 0.0000 0.5000 0.0000  2 Fe 2.23
Ag 0.0000 0.0000 0.5000  2 Fe 2.48
Ag 0.5000 0.0000 0.0000  2 Fe 2.48
Fe 0.0000 0.0000 0.0000  2 Zr 2.23, 4 Ag 2.48